This record from Alexandria describes crystalline Fe2IrPt at its relaxed geometry. The functional is GGA-PBE.

POSCAR file:
```
Fe2IrPt
1.0
5.2901 0.0000 0.0000
0.0000 5.2901 0.0000
2.6450 2.6450 5.2483
Fe Ir Pt
4 2 2
Direct
0.3750 0.3845 0.7500
0.8750 0.8655 0.7500
0.6155 0.1250 0.2500
0.1345 0.6250 0.2500
0.5000 0.5000 0.0000
0.2500 0.7500 0.5000
0.0000 0.0000 0.0000
0.7500 0.2500 0.5000
```

Output
calculated formation energy	95.6	kJ per mole of atoms
crystal system	tetragonal
magnetic moment	0.00	μB per cell
energy	-0.2560	Ha/atom
E above lowest polymorph	1102.0	meV/atom
N(E_F)	3.78	states/eV/f.u.



This record from Alexandria describes crystalline FeIr2Pt at its relaxed geometry. The functional is GGA-PBE.

POSCAR file:
```
FeIr2Pt
1.0
-0.8656 3.1136 -3.4305
-3.8114 -0.4096 2.7418
0.9336 2.0223 1.5999
Ir Pt Fe
2 1 1
Direct
0.0000 0.0000 0.0000
0.5000 0.5000 0.0000
0.5000 0.0000 0.5000
0.0000 0.5000 0.5000
```

Output
calculated formation energy	1.6	kJ per mole of atoms
crystal system	orthorhombic
magnetic moment	3.43	μB per cell
energy	-0.2955	Ha/atom
N(E_F)	5.70	states/eV/f.u.



This record from Alexandria describes crystalline Fe2Ir8Pt at its relaxed geometry. The functional is GGA-PBE.

POSCAR file:
```
Fe2Ir8Pt
1.0
-0.4335 -0.7500 3.9571
-3.5034 -5.2055 -1.3707
5.9843 -2.3221 0.2152
Ir Fe Pt
8 2 1
Direct
0.5001 0.3398 0.3398
0.5000 0.7400 0.2600
0.9998 0.6958 0.9688
0.5000 0.2600 0.7400
0.9998 0.9688 0.6958
0.4999 0.6602 0.6602
0.0002 0.3042 0.0312
0.0002 0.0312 0.3042
0.0000 0.6149 0.3851
0.0000 0.3851 0.6149
0.5000 0.0000 0.0000
```

Output
calculated formation energy	27.8	kJ per mole of atoms
crystal system	orthorhombic
magnetic moment	4.66	μB per cell
energy	-0.3030	Ha/atom
N(E_F)	13.46	states/eV/f.u.



This record from Alexandria describes crystalline FeIrPt2 at its relaxed geometry. The functional is GGA-PBE.

POSCAR file:
```
FeIrPt2
1.0
-2.4957 0.2419 -1.1094
0.7743 -1.5970 -2.0900
-2.3298 -6.2151 3.8858
Pt Ir Fe
2 1 1
Direct
0.5000 0.5000 0.2684
0.0000 0.0000 0.9936
0.5000 0.5000 0.7313
0.0000 0.0000 0.5067
```

Output
calculated formation energy	-8.1	kJ per mole of atoms
crystal system	tetragonal
magnetic moment	2.64	μB per cell
energy	-0.2733	Ha/atom
E above lowest polymorph	31.1	meV/atom
N(E_F)	4.68	states/eV/f.u.



This record from Alexandria describes crystalline FeIrPt2 at its relaxed geometry. The functional is GGA-PBE.

POSCAR file:
```
FeIrPt2
1.0
4.7288 0.0002 -0.0141
1.5116 4.4807 0.0141
-3.1117 -2.2522 2.7579
Pt Ir Fe
2 1 1
Direct
0.7500 0.2500 0.5000
0.0000 0.0000 0.0000
0.2501 0.7501 0.5000
0.5000 0.5000 0.0000
```

Output
calculated formation energy	-8.1	kJ per mole of atoms
crystal system	tetragonal
magnetic moment	3.13	μB per cell
energy	-0.2732	Ha/atom
E above lowest polymorph	31.8	meV/atom
N(E_F)	4.84	states/eV/f.u.



This record from Alexandria describes crystalline Fe2IrPt at its relaxed geometry. The functional is GGA-PBE.

POSCAR file:
```
Fe2IrPt
1.0
-2.9041 2.6853 -2.3132
-2.0271 -2.6116 -3.1728
0.4913 -0.6476 4.5094
Pt Fe Ir
1 2 1
Direct
0.2500 0.7500 0.5000
0.5001 0.5001 0.0000
0.9999 0.9999 0.0000
0.7500 0.2500 0.5000
```

Output
calculated formation energy	-9.1	kJ per mole of atoms
crystal system	tetragonal
magnetic moment	5.93	μB per cell
energy	-0.2959	Ha/atom
E above lowest polymorph	17.4	meV/atom
N(E_F)	6.07	states/eV/f.u.



This record from Alexandria describes crystalline Fe2IrPt5 at its relaxed geometry. The functional is GGA-PBE.

POSCAR file:
```
Fe2IrPt5
1.0
-0.7403 -1.0965 -3.6397
-2.7006 -4.4468 1.8890
-9.4282 5.7984 0.1707
Pt Ir Fe
10 2 4
Direct
0.5000 0.7514 0.3773
0.5000 0.2514 0.1227
0.5000 0.2486 0.6227
0.0000 0.9996 0.7481
0.0000 0.4996 0.7519
0.0000 0.5004 0.2481
0.5000 0.7486 0.8773
0.0000 0.0004 0.2519
0.0000 0.0000 0.0000
0.0000 0.5000 0.5000
0.0000 0.5000 0.0000
0.0000 0.0000 0.5000
0.5000 0.7459 0.1234
0.5000 0.2459 0.3766
0.5000 0.7541 0.6234
0.5000 0.2541 0.8766
```

Output
calculated formation energy	-16.7	kJ per mole of atoms
crystal system	orthorhombic
magnetic moment	17.38	μB per cell
energy	-0.2636	Ha/atom
N(E_F)	6.48	states/eV/f.u.



This record from Alexandria describes crystalline Fe2IrPt at its relaxed geometry. The functional is GGA-PBE.

POSCAR file:
```
Fe2IrPt
1.0
-5.3907 6.7048 -1.9346
-4.5829 6.0782 -4.4507
-6.6557 4.7388 -3.3169
Ir Fe Pt
1 2 1
Direct
0.5062 0.5062 0.5062
0.2517 0.2517 0.2517
0.9966 0.9966 0.9966
0.7455 0.7455 0.7455
```

Output
calculated formation energy	0.0	kJ per mole of atoms
crystal system	trigonal
magnetic moment	6.15	μB per cell
energy	-0.2924	Ha/atom
E above lowest polymorph	111.6	meV/atom
N(E_F)	6.18	states/eV/f.u.



This record from Alexandria describes crystalline Fe10IrPt6 at its relaxed geometry. The functional is GGA-PBE.

POSCAR file:
```
Fe10IrPt6
1.0
5.1525 0.0000 0.0000
0.0000 6.3941 -3.6916
0.0000 0.0000 7.3833
Pt Fe Ir
6 10 1
Direct
0.7011 0.0000 0.6383
0.7011 0.3617 0.3617
0.2989 0.0000 0.3617
0.7011 0.6383 0.0000
0.2989 0.6383 0.6383
0.2989 0.3617 0.0000
0.1864 0.2979 0.2979
0.8136 0.2979 0.0000
0.8136 0.7021 0.7021
0.0000 0.3333 0.6667
0.8136 0.0000 0.2979
0.1864 0.0000 0.7021
0.5000 0.6667 0.3333
0.0000 0.6667 0.3333
0.1864 0.7021 0.0000
0.5000 0.3333 0.6667
0.5000 0.0000 0.0000
```

Output
calculated formation energy	-1.2	kJ per mole of atoms
crystal system	trigonal
magnetic moment	32.63	μB per cell
energy	-0.2809	Ha/atom
N(E_F)	15.51	states/eV/f.u.



This record from Alexandria describes crystalline FeIrPt2 at its relaxed geometry. The functional is GGA-PBE.

POSCAR file:
```
FeIrPt2
1.0
2.7419 0.0000 0.0000
0.0000 3.8165 0.0000
0.0000 0.0000 5.5849
Pt Fe Ir
2 1 1
Direct
0.0000 0.0000 0.9908
0.5000 0.5000 0.2607
0.0000 0.0000 0.5080
0.5000 0.5000 0.7406
```

Output
calculated formation energy	-6.5	kJ per mole of atoms
crystal system	orthorhombic
magnetic moment	3.02	μB per cell
energy	-0.2726	Ha/atom
E above lowest polymorph	47.9	meV/atom
N(E_F)	5.28	states/eV/f.u.



This record from Alexandria describes crystalline Fe2IrPt at its relaxed geometry. The functional is GGA-PBE.

POSCAR file:
```
Fe2IrPt
1.0
-1.2587 -0.6242 -3.7765
2.3721 -1.1237 -0.6049
-0.5997 -5.0553 1.0354
Fe Pt Ir
2 1 1
Direct
0.0000 0.1869 0.9946
0.5000 0.0586 0.2635
0.5000 0.7956 0.7823
0.0000 0.4589 0.4596
```

Output
calculated formation energy	-2.1	kJ per mole of atoms
crystal system	monoclinic
magnetic moment	5.74	μB per cell
energy	-0.2932	Ha/atom
E above lowest polymorph	89.5	meV/atom
N(E_F)	5.58	states/eV/f.u.



This record from Alexandria describes crystalline FeIr2Pt at its relaxed geometry. The functional is GGA-PBE.

POSCAR file:
```
FeIr2Pt
1.0
-5.9707 -0.7888 -3.4225
2.0725 -6.2410 -2.1771
-3.0030 -4.5929 -0.7127
Ir Pt Fe
4 2 2
Direct
0.3750 0.4162 0.7500
0.1662 0.6250 0.2500
0.5838 0.1250 0.2500
0.8750 0.8338 0.7500
0.0000 0.0000 0.0000
0.7500 0.2500 0.5000
0.5000 0.5000 0.0000
0.2500 0.7500 0.5000
```

Output
calculated formation energy	45.0	kJ per mole of atoms
crystal system	tetragonal
magnetic moment	4.29	μB per cell
energy	-0.2789	Ha/atom
N(E_F)	4.29	states/eV/f.u.



This record from Alexandria describes crystalline Fe3IrPt at its relaxed geometry. The functional is GGA-PBE.

POSCAR file:
```
Fe3IrPt
1.0
-0.2187 -0.8270 4.4989
-2.3475 -3.8454 -0.8210
3.9260 -2.3454 -0.2403
Ir Pt Fe
1 1 3
Direct
0.0000 0.0000 0.0000
0.5000 0.5000 0.5000
0.0000 0.0000 0.5000
0.5000 0.0000 0.0000
0.0000 0.5000 0.0000
```

Output
calculated formation energy	126.5	kJ per mole of atoms
crystal system	cubic
magnetic moment	10.65	μB per cell
energy	-0.2479	Ha/atom
E above lowest polymorph	0.0	meV/atom
N(E_F)	6.76	states/eV/f.u.



This record from Alexandria describes crystalline Fe2IrPt at its relaxed geometry. The functional is GGA-PBE.

POSCAR file:
```
Fe2IrPt
1.0
2.7161 0.0000 0.0000
0.0000 2.7161 0.0000
0.0000 0.0000 7.3790
Pt Fe Ir
1 2 1
Direct
0.5000 0.5000 0.7619
0.0000 0.0000 0.0141
0.5000 0.5000 0.2461
0.0000 0.0000 0.4780
```

Output
calculated formation energy	-2.1	kJ per mole of atoms
crystal system	tetragonal
magnetic moment	5.38	μB per cell
energy	-0.2932	Ha/atom
E above lowest polymorph	89.8	meV/atom
N(E_F)	5.62	states/eV/f.u.



This record from Alexandria describes crystalline FeIrPt2 at its relaxed geometry. The functional is GGA-PBE.

POSCAR file:
```
FeIrPt2
1.0
-2.6155 2.8139 0.3774
-2.7796 -2.4336 -1.1179
-0.5887 -1.0501 3.7496
Pt Ir Fe
2 1 1
Direct
0.0000 0.0000 0.0000
0.5000 0.5000 0.0000
0.0000 0.5000 0.5000
0.5000 0.0000 0.5000
```

Output
calculated formation energy	-10.4	kJ per mole of atoms
crystal system	tetragonal
magnetic moment	4.15	μB per cell
energy	-0.2741	Ha/atom
E above lowest polymorph	7.0	meV/atom
N(E_F)	3.44	states/eV/f.u.



This record from Alexandria describes crystalline FeIr2Pt at its relaxed geometry. The functional is GGA-PBE.

POSCAR file:
```
FeIr2Pt
1.0
4.7215 0.0010 0.0136
3.9314 2.6148 0.0136
0.8429 0.2548 4.6384
Pt Ir Fe
1 2 1
Direct
0.7500 0.7500 0.7500
0.9932 0.9932 0.0078
0.5068 0.5068 0.4922
0.2500 0.2500 0.2500
```

Output
calculated formation energy	-4.9	kJ per mole of atoms
crystal system	monoclinic
magnetic moment	3.19	μB per cell
energy	-0.2979	Ha/atom
N(E_F)	4.58	states/eV/f.u.



This record from Alexandria describes crystalline FeIr2Pt at its relaxed geometry. The functional is GGA-PBE.

POSCAR file:
```
FeIr2Pt
1.0
-0.9788 -4.1037 -1.9009
1.5981 0.5969 -2.1115
3.6638 -1.8975 2.2099
Pt Fe Ir
1 1 2
Direct
0.5000 0.2500 0.2500
0.5000 0.7500 0.7500
0.0000 0.4977 0.5029
0.0000 0.0023 0.9971
```

Output
calculated formation energy	12.7	kJ per mole of atoms
crystal system	monoclinic
magnetic moment	3.51	μB per cell
energy	-0.2912	Ha/atom
N(E_F)	4.12	states/eV/f.u.



This record from Alexandria describes crystalline Fe3IrPt6 at its relaxed geometry. The functional is GGA-PBE.

POSCAR file:
```
Fe3IrPt6
1.0
3.8785 0.0000 0.0000
0.0000 8.5871 -1.2662
0.0000 1.2231 8.6109
Fe Ir Pt
6 2 12
Direct
0.7500 0.6462 0.2002
0.2500 0.5491 0.3975
0.7500 0.4509 0.6025
0.2500 0.7460 0.0013
0.2500 0.3538 0.7998
0.7500 0.2540 0.9987
0.7500 0.0463 0.4037
0.2500 0.9537 0.5963
0.7500 0.1624 0.7044
0.7500 0.9414 0.1004
0.2500 0.1530 0.1968
0.7500 0.8470 0.8032
0.2500 0.0586 0.8996
0.2500 0.4551 0.1001
0.7500 0.3605 0.3039
0.2500 0.6395 0.6961
0.2500 0.8376 0.2956
0.2500 0.2605 0.5048
0.7500 0.5449 0.8999
0.7500 0.7395 0.4952
```

Output
calculated formation energy	-14.3	kJ per mole of atoms
crystal system	monoclinic
magnetic moment	21.90	μB per cell
energy	-0.2645	Ha/atom
N(E_F)	10.90	states/eV/f.u.



This record from Alexandria describes crystalline FeIr2Pt at its relaxed geometry. The functional is GGA-PBE.

POSCAR file:
```
FeIr2Pt
1.0
-0.5789 2.3937 3.6019
-3.5247 2.5427 0.3866
-3.1471 -1.0499 2.8348
Ir Fe Pt
2 1 1
Direct
0.0000 0.0000 0.9999
0.2499 0.2499 0.2503
0.5000 0.5000 0.5000
0.7501 0.7501 0.7498
```

Output
calculated formation energy	26.2	kJ per mole of atoms
crystal system	cubic
magnetic moment	3.43	μB per cell
energy	-0.2861	Ha/atom
N(E_F)	5.19	states/eV/f.u.



This record from Alexandria describes crystalline FeIrPt2 at its relaxed geometry. The functional is GGA-PBE.

POSCAR file:
```
FeIrPt2
1.0
-1.1668 -4.4880 3.9713
4.2064 0.2376 -2.2381
1.2859 0.1316 2.4275
Pt Ir Fe
2 1 1
Direct
0.5000 0.0000 0.5000
0.0000 0.0000 0.0000
0.5000 0.5000 0.0000
0.0000 0.5000 0.5000
```

Output
calculated formation energy	-11.1	kJ per mole of atoms
crystal system	orthorhombic
magnetic moment	4.00	μB per cell
energy	-0.2744	Ha/atom
E above lowest polymorph	0.0	meV/atom
N(E_F)	3.71	states/eV/f.u.



This record from Alexandria describes crystalline FeIrPt2 at its relaxed geometry. The functional is GGA-PBE.

POSCAR file:
```
FeIrPt2
1.0
4.7670 0.0026 0.0000
1.6120 4.4862 0.0000
-3.1895 -2.2444 2.7412
Pt Ir Fe
2 1 1
Direct
0.5000 0.5000 0.0000
0.0000 0.0000 0.0000
0.7500 0.2500 0.5000
0.2500 0.7500 0.5000
```

Output
calculated formation energy	-6.4	kJ per mole of atoms
crystal system	tetragonal
magnetic moment	3.79	μB per cell
energy	-0.2726	Ha/atom
E above lowest polymorph	48.7	meV/atom
N(E_F)	5.44	states/eV/f.u.



This record from Alexandria describes crystalline FeIrPt2 at its relaxed geometry. The functional is GGA-PBE.

POSCAR file:
```
FeIrPt2
1.0
9.0997 0.0202 0.0119
8.6801 2.7316 0.0119
8.6801 1.3434 2.3785
Fe Pt Ir
1 2 1
Direct
0.2500 0.2500 0.2500
0.9959 0.9959 0.9959
0.5041 0.5041 0.5041
0.7500 0.7500 0.7500
```

Output
calculated formation energy	-4.5	kJ per mole of atoms
crystal system	trigonal
magnetic moment	2.46	μB per cell
energy	-0.2719	Ha/atom
E above lowest polymorph	68.4	meV/atom
N(E_F)	4.80	states/eV/f.u.



This record from Alexandria describes crystalline FeIr2Pt at its relaxed geometry. The functional is GGA-PBE.

POSCAR file:
```
FeIr2Pt
1.0
8.9463 -0.0081 -0.0047
8.5321 2.6907 -0.0047
8.5321 1.3095 2.3506
Ir Pt Fe
2 1 1
Direct
0.0062 0.0062 0.0062
0.4938 0.4938 0.4938
0.2500 0.2500 0.2500
0.7500 0.7500 0.7500
```

Output
calculated formation energy	-1.2	kJ per mole of atoms
crystal system	trigonal
magnetic moment	2.31	μB per cell
energy	-0.2965	Ha/atom
N(E_F)	5.53	states/eV/f.u.



This record from Alexandria describes crystalline FeIrPt2 at its relaxed geometry. The functional is GGA-PBE.

POSCAR file:
```
FeIrPt2
1.0
9.0731 0.0024 0.0014
8.6590 2.7098 0.0014
8.6590 1.3244 2.3641
Fe Pt Ir
1 2 1
Direct
0.4983 0.4983 0.4983
0.2441 0.2441 0.2441
0.0017 0.0017 0.0017
0.7559 0.7559 0.7559
```

Output
calculated formation energy	-9.2	kJ per mole of atoms
crystal system	trigonal
magnetic moment	2.26	μB per cell
energy	-0.2737	Ha/atom
E above lowest polymorph	20.2	meV/atom
N(E_F)	3.72	states/eV/f.u.



This record from Alexandria describes crystalline Fe3Ir2Pt at its relaxed geometry. The functional is GGA-PBE.

POSCAR file:
```
Fe3Ir2Pt
1.0
2.6960 0.0000 0.0000
0.0000 2.6960 0.0000
0.0000 0.0000 11.0634
Fe Pt Ir
3 1 2
Direct
0.0000 0.0000 0.3275
0.0000 0.0000 0.0000
0.0000 0.0000 0.6725
0.5000 0.5000 0.5000
0.5000 0.5000 0.8401
0.5000 0.5000 0.1599
```

Output
calculated formation energy	-8.6	kJ per mole of atoms
crystal system	tetragonal
magnetic moment	7.69	μB per cell
energy	-0.3043	Ha/atom
N(E_F)	6.32	states/eV/f.u.



This record from Alexandria describes crystalline Fe2Ir2Pt at its relaxed geometry. The functional is GGA-PBE.

POSCAR file:
```
Fe2Ir2Pt
1.0
-0.9642 2.9933 -2.9534
2.0913 -3.1541 -3.8795
-5.3731 -3.2199 1.6416
Ir Pt Fe
4 2 4
Direct
0.2123 0.6060 0.4245
0.7878 0.8940 0.5755
0.2122 0.1060 0.4245
0.7877 0.3940 0.5755
0.9999 0.7500 0.0000
0.0001 0.2500 0.0000
0.5984 0.5475 0.1967
0.5983 0.0475 0.1967
0.4016 0.4525 0.8033
0.4017 0.9525 0.8033
```

Output
calculated formation energy	-0.1	kJ per mole of atoms
crystal system	monoclinic
magnetic moment	10.74	μB per cell
energy	-0.2991	Ha/atom
E above lowest polymorph	0.0	meV/atom
N(E_F)	5.70	states/eV/f.u.